Entry one
Compound: Ca2AlNiO5
Source: Alexandria via LeMat-Bulk
Functional: GGA+U
Structure: optimized geometry

Summary:
Total magnetization = 1.0 μB/f.u.

Cell: 8.2135 8.2135 8.2135 Å, 142.82 139.55 56.10°
Last column: nearest neighbours and their distance in Å.
Fractional positions:
Ca 0.3557 0.8856 0.4597  7 O 2.31-2.57
Al 0.6715 0.7087 0.8802  4 O 1.76-1.81
O 0.7279 0.2345 0.9975  2 Ni 1.94-1.95
Ni 0.5000 0.5061 0.0061  6 O 1.94-2.17
Al 0.3285 0.2087 0.0372  4 O 1.76-1.81
O 0.3919 0.8699 0.7618  2 Al 1.80-1.81
O 0.0759 0.1758 0.9586  1 Al 1.76
O 0.2721 0.2696 0.5065  2 Ni 1.94-1.95
O 0.9241 0.8827 0.0998  1 Al 1.76
Ni 0.0000 0.0061 0.0061  6 O 1.94-2.17
O 0.7370 0.7345 0.5065  2 Ni 1.94-1.95
O 0.6081 0.3699 0.4780  2 Al 1.80-1.81
O 0.2828 0.3827 0.9586  1 Al 1.76
Ca 0.9258 0.3856 0.5299  7 O 2.31-2.57
O 0.2630 0.7696 0.9975  2 Ni 1.94-1.95
Ca 0.6443 0.1040 0.5299  7 O 2.31-2.57
Ca 0.0742 0.6040 0.4597  7 O 2.31-2.57
O 0.7172 0.6758 0.0998  1 Al 1.76



Entry two
Compound: Ca2AlNiO5
Source: Alexandria via LeMat-Bulk
Functional: GGA+U
Structure: optimized geometry

Summary:
Total magnetization = 3.0 μB/f.u.

Cell: 3.1554 6.7114 10.2174 Å, 90.00 90.00 103.60°
Last column: nearest neighbours and their distance in Å.
Fractional positions:
Ca 0.8579 0.7159 0.8076  7 O 2.39-2.52
Ca 0.9005 0.8010 0.1686  6 O 2.35-2.44
O 0.0518 0.1035 0.0284  2 Al 1.80
Ni 0.2221 0.4441 0.0289  5 O 1.88-2.08
Ca 0.0995 0.1989 0.6686  6 O 2.35-2.44
O 0.6902 0.3804 0.9021  1 Al 1.83
O 0.3647 0.7294 0.0004  1 Ni 1.88
O 0.9482 0.8965 0.5284  2 Al 1.80
O 0.5009 0.0018 0.2860  1 Al 1.76
O 0.2792 0.5584 0.6587  2 Ni 2.06
Ni 0.7779 0.5559 0.5289  5 O 1.88-2.08
O 0.4991 0.9982 0.7860  1 Al 1.76
O 0.7208 0.4416 0.1587  2 Ni 2.06
Ca 0.1421 0.2841 0.3076  7 O 2.39-2.52
O 0.3098 0.6196 0.4021  1 Al 1.83
Al 0.5538 0.1076 0.9433  4 O 1.76-1.83
O 0.6353 0.2706 0.5004  1 Ni 1.88
Al 0.4462 0.8924 0.4433  4 O 1.76-1.83



Name the least stable of them. entry two.